1.
The following is a PBE calculation of a relaxed structure of Na3Sm12Al5, from Alexandria.

POSCAR file:
```
Na3Sm12Al5
1.0
-9.116 9.116 9.116
9.116 -9.116 9.116
9.116 9.116 -9.116
Na Sm Al
12 48 20
Direct
0.125 0.250 0.375
0.125 0.375 0.750
0.250 0.375 0.125
0.250 0.875 0.625
0.375 0.125 0.250
0.375 0.750 0.125
0.625 0.250 0.875
0.625 0.875 0.750
0.750 0.125 0.375
0.750 0.625 0.875
0.875 0.625 0.250
0.875 0.750 0.625
0.037 0.207 0.114
0.037 0.330 0.924
0.076 0.614 0.407
0.076 0.963 0.670
0.093 0.707 0.670
0.093 0.886 0.424
0.114 0.037 0.207
0.114 0.576 0.907
0.170 0.207 0.593
0.170 0.463 0.576
0.207 0.114 0.037
0.207 0.593 0.170
0.293 0.330 0.907
0.293 0.463 0.386
0.330 0.907 0.293
0.330 0.924 0.037
0.386 0.293 0.463
0.386 0.593 0.924
0.407 0.076 0.614
0.407 0.830 0.793
0.424 0.093 0.886
0.424 0.830 0.537
0.463 0.386 0.293
0.463 0.576 0.170
0.537 0.424 0.830
0.537 0.614 0.707
0.576 0.170 0.463
0.576 0.907 0.114
0.593 0.170 0.207
0.593 0.924 0.386
0.614 0.407 0.076
0.614 0.707 0.537
0.670 0.076 0.963
0.670 0.093 0.707
0.707 0.537 0.614
0.707 0.670 0.093
0.793 0.407 0.830
0.793 0.886 0.963
0.830 0.537 0.424
0.830 0.793 0.407
0.886 0.424 0.093
0.886 0.963 0.793
0.907 0.114 0.576
0.907 0.293 0.330
0.924 0.037 0.330
0.924 0.386 0.593
0.963 0.670 0.076
0.963 0.793 0.886
0.000 0.000 0.000
0.000 0.000 0.500
0.000 0.500 0.000
0.000 0.500 0.500
0.125 0.750 0.875
0.125 0.875 0.250
0.250 0.125 0.875
0.250 0.625 0.375
0.375 0.250 0.625
0.375 0.625 0.750
0.500 0.000 0.000
0.500 0.000 0.500
0.500 0.500 0.000
0.500 0.500 0.500
0.625 0.375 0.250
0.625 0.750 0.375
0.750 0.375 0.625
0.750 0.875 0.125
0.875 0.125 0.750
0.875 0.250 0.125
```

Calculated values
Formation energy (meV/atom): 565

2.
The following is a PBE calculation of a relaxed structure of Cs2HBr6F, from Alexandria.

POSCAR file:
```
Cs2HBr6F
1.0
-3.880 3.880 5.716
3.880 -3.880 5.716
3.880 3.880 -5.716
Cs H Br F
2 1 6 1
Direct
0.250 0.750 0.500
0.750 0.250 0.500
0.000 0.000 0.000
0.196 0.196 0.392
0.196 0.804 0.000
0.310 0.310 0.000
0.690 0.690 0.000
0.804 0.196 0.000
0.804 0.804 0.608
0.500 0.500 0.000
```

Calculated values
Energy (Ry/atom): -0.164

3.
The following is a PBE calculation of a relaxed structure of AlPt2Br, from Alexandria.

POSCAR file:
```
AlPt2Br
1.0
2.831 0.000 0.000
0.000 2.831 0.000
0.000 0.000 9.715
Al Pt Br
1 2 1
Direct
0.000 0.000 0.000
0.500 0.500 0.170
0.500 0.500 0.830
0.000 0.000 0.500
```

Calculated values
Raw formation energy (eV/atom): -0.302

4.
The following is a PBE calculation of a relaxed structure of MoH2Rh, from Alexandria.

POSCAR file:
```
MoH2Rh
1.0
5.287 0.000 0.000
0.000 5.287 0.000
0.000 0.000 5.287
Mo H Rh
4 8 4
Direct
0.000 0.000 0.000
0.000 0.500 0.500
0.500 0.000 0.500
0.500 0.500 0.000
0.250 0.250 0.250
0.250 0.250 0.750
0.250 0.750 0.250
0.250 0.750 0.750
0.750 0.250 0.250
0.750 0.250 0.750
0.750 0.750 0.250
0.750 0.750 0.750
0.000 0.000 0.500
0.000 0.500 0.000
0.500 0.000 0.000
0.500 0.500 0.500
```

Calculated values
Energy (Ry/atom): -0.412

5.
The following is a PBE calculation of a relaxed structure of PmTm2In3Te6, from Alexandria.

POSCAR file:
```
PmTm2In3Te6
1.0
3.826 -6.625 0.000
3.826 6.625 0.000
-2.551 0.000 8.112
Pm Tm In Te
1 2 3 6
Direct
0.000 0.000 0.000
0.333 0.667 0.000
0.667 0.333 0.000
0.164 0.836 0.500
0.500 0.500 0.500
0.836 0.164 0.500
0.073 0.416 0.220
0.270 0.270 0.783
0.416 0.073 0.220
0.584 0.927 0.780
0.730 0.730 0.217
0.927 0.584 0.780
```

Calculated values
Raw formation energy (eV/atom): -0.957

6.
The following is a PBE calculation of a relaxed structure of Ho3Ge4Pd7, from Alexandria.

POSCAR file:
```
Ho3Ge4Pd7
1.0
7.835 -2.046 0.000
7.835 2.046 0.000
-5.524 0.000 7.823
Ho Ge Pd
3 4 7
Direct
0.000 0.000 0.000
0.325 0.325 0.329
0.675 0.675 0.671
0.109 0.109 0.826
0.337 0.337 0.738
0.663 0.663 0.262
0.891 0.891 0.174
0.000 0.000 0.500
0.169 0.169 0.427
0.307 0.307 0.969
0.489 0.489 0.712
0.511 0.511 0.288
0.693 0.693 0.031
0.831 0.831 0.573
```

Calculated values
Formation energy (meV/atom): -851

no.,N(E_F) (states/eV per cell),theoretical density (Mg/m³)
1,139.7,4.40
2,0.0,3.69
3,1.2,10.60
4,12.2,9.03
5,1.0,6.43
6,7.9,10.13